This record from the Alexandria database describes a crystal of BaSc2IrPb relaxed with PBEsol. The functional is SCAN.

```
data_BaSc2IrPb
_cell_length_a 5.067
_cell_length_b 5.067
_cell_length_c 5.830
_cell_angle_alpha 90.00
_cell_angle_beta 90.00
_cell_angle_gamma 90.00
_symmetry_space_group_name_H-M 'P 4/m m m'
_symmetry_Int_Tables_number 123
_symmetry_space_group_name_Hall '-P 4 2'
loop_
_atom_site_label
_atom_site_type_symbol
_atom_site_fract_x
_atom_site_fract_y
_atom_site_fract_z
Ba1 Ba 0.000 0.000 0.000
Sc1 Sc 0.000 0.500 0.500
Ir1 Ir 0.000 0.000 0.500
Pb1 Pb 0.500 0.500 0.000
```



This record from the Alexandria database describes a crystal of Ba2IrPdPt relaxed with PBEsol. The functional is SCAN.

```
data_Ba2IrPdPt
_cell_length_a 5.958
_cell_length_b 5.958
_cell_length_c 4.690
_cell_angle_alpha 90.00
_cell_angle_beta 90.00
_cell_angle_gamma 90.00
_symmetry_space_group_name_H-M 'P 4/m m m'
_symmetry_Int_Tables_number 123
_symmetry_space_group_name_Hall '-P 4 2'
loop_
_atom_site_label
_atom_site_type_symbol
_atom_site_fract_x
_atom_site_fract_y
_atom_site_fract_z
Ba1 Ba 0.000 0.500 0.000
Ir1 Ir 0.000 0.000 0.500
Pd1 Pd 0.500 0.500 0.500
Pt1 Pt 0.000 0.000 0.000
```



This record from the Alexandria database describes a crystal of BaSn2IrPd relaxed with PBEsol. The functional is SCAN.

```
data_BaSn2IrPd
_cell_length_a 4.990
_cell_length_b 4.990
_cell_length_c 5.245
_cell_angle_alpha 90.00
_cell_angle_beta 90.00
_cell_angle_gamma 90.00
_symmetry_space_group_name_H-M 'P 4/m m m'
_symmetry_Int_Tables_number 123
_symmetry_space_group_name_Hall '-P 4 2'
loop_
_atom_site_label
_atom_site_type_symbol
_atom_site_fract_x
_atom_site_fract_y
_atom_site_fract_z
Ba1 Ba 0.000 0.000 0.000
Sn1 Sn 0.000 0.500 0.500
Ir1 Ir 0.500 0.500 0.000
Pd1 Pd 0.500 0.500 0.500
```



# BaIr2Pt SCAN single point on PBEsol structure
# Energy above the lowest structure with this stoichiometry: 1.161 eV per formula unit
data_BaIr2Pt
_cell_length_a 5.761
_cell_length_b 10.177
_cell_length_c 2.885
_cell_angle_alpha 90.00
_cell_angle_beta 118.62
_cell_angle_gamma 90.00
_symmetry_space_group_name_H-M 'C 1 2/m 1'
_symmetry_Int_Tables_number 12
_symmetry_space_group_name_Hall '-C 2y'
loop_
_atom_site_label
_atom_site_type_symbol
_atom_site_fract_x
_atom_site_fract_y
_atom_site_fract_z
Ba1 Ba 0.000 0.000 0.000
Ir1 Ir 0.250 0.250 0.500
Pt1 Pt 0.000 0.500 0.000



# BaIr2Pt SCAN single point on PBEsol structure
# Energy above the lowest structure with this stoichiometry: 1.653 eV per formula unit
data_BaIr2Pt
_cell_length_a 4.270
_cell_length_b 4.270
_cell_length_c 8.180
_cell_angle_alpha 90.00
_cell_angle_beta 90.00
_cell_angle_gamma 90.00
_symmetry_space_group_name_H-M 'I -4 m 2'
_symmetry_Int_Tables_number 119
_symmetry_space_group_name_Hall 'I -4 -2'
loop_
_atom_site_label
_atom_site_type_symbol
_atom_site_fract_x
_atom_site_fract_y
_atom_site_fract_z
Ba1 Ba 0.000 0.000 0.000
Ir1 Ir 0.000 0.000 0.500
Ir2 Ir 0.000 0.500 0.250
Pt1 Pt 0.000 0.500 0.750



This record from the Alexandria database describes a crystal of BaIrPt3 relaxed with PBEsol. The functional is SCAN.

```
data_BaIrPt3
_cell_length_a 4.901
_cell_length_b 4.901
_cell_length_c 4.901
_cell_angle_alpha 90.00
_cell_angle_beta 90.00
_cell_angle_gamma 90.00
_symmetry_space_group_name_H-M 'P m -3 m'
_symmetry_Int_Tables_number 221
_symmetry_space_group_name_Hall '-P 4 2 3'
loop_
_atom_site_label
_atom_site_type_symbol
_atom_site_fract_x
_atom_site_fract_y
_atom_site_fract_z
Ba1 Ba 0.000 0.000 0.000
Ir1 Ir 0.500 0.500 0.500
Pt1 Pt 0.000 0.500 0.500
```



Across the entries above, DFT total energy takes the values -43.300, -50.530, -42.850, -62.265, -62.142, -64.061 eV per atom, respectively.